VASP calculation (GGA+U) on an optimized crystal structure of VHO2.

Cell: 4.6716 10.0175 3.1330 Å, 90.00 90.00 90.00°
Closest atoms and distances in Å follow each position.
Fractional positions:
V  0.4379  0.3558  0.7500  6 O 1.96-2.14
V  0.0621  0.8558  0.7500  6 O 1.96-2.14
V  0.5621  0.6442  0.2500  6 O 1.96-2.14
V  0.9379  0.1442  0.2500  6 O 1.96-2.14
O  0.1868  0.3023  0.2500  1 H 1.75
O  0.8132  0.6977  0.7500  1 H 1.75
O  0.6868  0.1977  0.7500  1 H 1.75
O  0.8118  0.9417  0.2500  1 H 1.00
O  0.3118  0.5583  0.7500  1 H 1.00
O  0.3132  0.8023  0.2500  1 H 1.75
O  0.6882  0.4417  0.2500  1 H 1.00
O  0.1882  0.0583  0.7500  1 H 1.00
H  0.1102  0.5919  0.7500  1 O 1.00
H  0.8898  0.4081  0.2500  1 O 1.00
H  0.6102  0.9081  0.2500  1 O 1.00
H  0.3898  0.0919  0.7500  1 O 1.00

density	3.803	g/cm3
raw total energy	-0.507	Ry/atom
space group	Pnma (62)

---

VASP calculation (GGA+U) on an optimized crystal structure of VHO.

Cell: 3.1266 3.1266 5.6035 Å, 83.47 83.47 78.10°
Closest atoms and distances in Å follow each position.
Fractional positions:
V  0.3527  0.3527  0.2660  2 H 1.83
V  0.6473  0.6473  0.7340  2 H 1.83
H  0.7432  0.2568  0.0000  2 V 1.83, 2 H 1.92-2.02
H  0.2568  0.7432  0.0000  2 V 1.83, 2 H 1.92-2.02
O  0.7493  0.7493  0.3527  4 V 2.05-2.12
O  0.2507  0.2507  0.6473  4 V 2.05-2.12

density	4.256	g/cm3
raw total energy	-0.451	Ry/atom
space group	C2/m (12)

---

VASP calculation (GGA+U) on an optimized crystal structure of VHO2.

Cell: 3.5001 3.5001 3.5001 Å, 60.00 60.00 60.00°
Closest atoms and distances in Å follow each position.
Fractional positions:
H  0.0000  0.0000  0.0000  8 O 2.14
O  0.2500  0.2500  0.2500  4 V 2.14, 4 H 2.14
O  0.7500  0.7500  0.7500  4 V 2.14, 4 H 2.14
V  0.5000  0.5000  0.5000  8 O 2.14

density	4.597	g/cm3
raw total energy	-0.426	Ry/atom
space group	Fm-3m (225)

---

VASP calculation (GGA+U) on an optimized crystal structure of V3H4O8.

Cell: 7.9874 7.9874 7.3779 Å, 68.70 68.70 27.57°
Closest atoms and distances in Å follow each position.
Fractional positions:
O  0.1996  0.1996  0.8899  1 H 0.98
O  0.8917  0.8917  0.7151  1 H 0.99
O  0.1083  0.1083  0.2849  1 H 0.99
O  0.7119  0.7119  0.5921  3 V 1.91-1.96
O  0.0722  0.0722  0.6720  1 V 1.71
O  0.8004  0.8004  0.1101  1 H 0.98
O  0.9278  0.9278  0.3280  1 V 1.71
O  0.2881  0.2881  0.4079  3 V 1.91-1.96
H  0.1282  0.1282  0.1411  1 O 0.99
H  0.8718  0.8718  0.8589  1 O 0.99
H  0.7351  0.7351  0.1229  1 O 0.98
H  0.2649  0.2649  0.8771  1 O 0.98
V  0.0000  0.0000  0.5000  4 O 1.83-1.98
V  0.8146  0.8146  0.3465  2 O 1.71-1.84
V  0.1854  0.1854  0.6535  2 O 1.71-1.84

density	2.341	g/cm3
raw total energy	-0.473	Ry/atom
space group	C2/m (12)

---

VASP calculation (GGA+U) on an optimized crystal structure of YVHO2.

Cell: 4.3551 3.9191 4.3551 Å, 90.00 90.00 90.00°
Closest atoms and distances in Å follow each position.
Fractional positions:
Y  0.0000  0.0000  0.0000  2 H 1.96, 4 O 2.18
V  0.5000  0.5000  0.5000  8 O 2.93, 4 H 3.08
O  0.5000  0.0000  0.0000  2 Y 2.18
O  0.0000  0.0000  0.5000  2 Y 2.18
H  0.0000  0.5000  0.0000  2 Y 1.96

density	3.861	g/cm3
raw total energy	-0.470	Ry/atom
space group	P4/mmm (123)

---

VASP calculation (GGA+U) on an optimized crystal structure of VZn2HO5.

Cell: 6.1517 9.0074 14.8711 Å, 90.00 90.00 90.00°
Closest atoms and distances in Å follow each position.
Fractional positions:
O  0.7500  0.6869  0.0642  1 H 0.98
O  0.7500  0.4256  0.7794  1 H 1.00
O  0.7500  0.0744  0.2794  1 H 1.00
O  0.0131  0.8959  0.3787  1 V 1.76
O  0.7500  0.8673  0.7584  1 V 1.82, 1 Zn 2.01
O  0.7500  0.1305  0.1056  1 H 1.64, 1 V 1.72
O  0.0131  0.6041  0.8787  1 V 1.76
O  0.2500  0.5744  0.2206  1 H 1.00
O  0.7500  0.3695  0.6056  1 H 1.64, 1 V 1.72
O  0.4869  0.8959  0.3787  1 V 1.76
O  0.9869  0.3959  0.1213  1 V 1.76
O  0.9860  0.1270  0.8336  1 V 1.77
O  0.7500  0.9340  0.9442  1 V 1.69
O  0.2500  0.4340  0.5558  1 V 1.69
O  0.9860  0.3730  0.3336  1 V 1.77
O  0.2500  0.8695  0.8944  1 H 1.64, 1 V 1.72
O  0.2500  0.6606  0.0399  1 V 1.74
O  0.2500  0.1327  0.2416  1 V 1.82, 1 Zn 2.01
O  0.2500  0.0660  0.0558  1 V 1.69
O  0.5140  0.1270  0.8336  1 V 1.77
O  0.4860  0.6270  0.6664  1 V 1.77
O  0.5140  0.3730  0.3336  1 V 1.77
O  0.0140  0.8730  0.1664  1 V 1.77
O  0.9869  0.1041  0.6213  1 V 1.76
O  0.7500  0.6327  0.2584  1 V 1.82, 1 Zn 2.01
O  0.2500  0.3131  0.9358  1 H 0.98
O  0.7500  0.5660  0.4442  1 V 1.69
O  0.4869  0.6041  0.8787  1 V 1.76
O  0.5131  0.3959  0.1213  1 V 1.76
O  0.2500  0.9256  0.7206  1 H 1.00
O  0.7500  0.3394  0.9601  1 V 1.74
O  0.2500  0.1869  0.4358  1 H 0.98
O  0.4860  0.8730  0.1664  1 V 1.77
O  0.7500  0.8131  0.5642  1 H 0.98
O  0.2500  0.6305  0.3944  1 H 1.64, 1 V 1.72
O  0.2500  0.3673  0.7416  1 V 1.82, 1 Zn 2.01
O  0.7500  0.1606  0.4601  1 V 1.74
O  0.5131  0.1041  0.6213  1 V 1.76
O  0.2500  0.8394  0.5399  1 V 1.74
O  0.0140  0.6270  0.6664  1 V 1.77
H  0.2500  0.6079  0.2848  1 O 1.00
H  0.2500  0.3484  0.9981  1 O 0.98
H  0.7500  0.8484  0.5019  1 O 0.98
H  0.2500  0.1516  0.4981  1 O 0.98
H  0.2500  0.8921  0.7848  1 O 1.00
H  0.7500  0.1079  0.2152  1 O 1.00
H  0.7500  0.3921  0.7152  1 O 1.00
H  0.7500  0.6516  0.0019  1 O 0.98
Zn  0.2500  0.3472  0.2047  4 O 2.01-2.09
Zn  0.9926  0.1315  0.3606  5 O 1.99-2.21
Zn  0.4926  0.8685  0.6394  5 O 1.99-2.21
Zn  0.7500  0.8472  0.2953  4 O 2.01-2.09
Zn  0.7500  0.9167  0.0774  5 O 1.97-2.13
Zn  0.2500  0.0833  0.9226  5 O 1.97-2.13
Zn  0.4926  0.6315  0.1394  5 O 1.99-2.21
Zn  0.2500  0.1528  0.7047  4 O 2.01-2.09
Zn  0.0074  0.8685  0.6394  5 O 1.99-2.21
Zn  0.0074  0.6315  0.1394  5 O 1.99-2.21
Zn  0.2500  0.4167  0.4226  5 O 1.97-2.13
Zn  0.5074  0.3685  0.8606  5 O 1.99-2.21
Zn  0.7500  0.6528  0.7953  4 O 2.01-2.09
Zn  0.5074  0.1315  0.3606  5 O 1.99-2.21
Zn  0.7500  0.5833  0.5774  5 O 1.97-2.13
Zn  0.9926  0.3685  0.8606  5 O 1.99-2.21
V  0.2500  0.5148  0.6581  4 O 1.69-1.82
V  0.7500  0.1849  0.5762  4 O 1.72-1.76
V  0.7500  0.3151  0.0762  4 O 1.72-1.76
V  0.2500  0.6849  0.9238  4 O 1.72-1.76
V  0.2500  0.9852  0.1581  4 O 1.69-1.82
V  0.7500  0.0148  0.8419  4 O 1.69-1.82
V  0.2500  0.8151  0.4238  4 O 1.72-1.76
V  0.7500  0.4852  0.3419  4 O 1.69-1.82

density	4.236	g/cm3
raw total energy	-0.425	Ry/atom
space group	Pnma (62)

---

VASP calculation (GGA+U) on an optimized crystal structure of ZrVHO2.

Cell: 4.1716 3.7665 4.1716 Å, 90.00 90.00 90.00°
Closest atoms and distances in Å follow each position.
Fractional positions:
O  0.0000  0.0000  0.5000  2 Zr 2.09
O  0.5000  0.0000  0.0000  2 Zr 2.09
V  0.5000  0.5000  0.5000  8 O 2.81, 4 H 2.95
Zr  0.0000  0.0000  0.0000  2 H 1.88, 4 O 2.09
H  0.0000  0.5000  0.0000  2 Zr 1.88

density	4.438	g/cm3
raw total energy	-0.501	Ry/atom
space group	P4/mmm (123)

---

VASP calculation (GGA+U) on an optimized crystal structure of HWO.

Cell: 3.0367 3.0367 10.5802 Å, 90.00 90.00 120.00°
Closest atoms and distances in Å follow each position.
Fractional positions:
O  0.0000  0.0000  0.2448  4 H 2.12-2.25, 4 W 2.19-2.21
O  0.6667  0.3333  0.5781  4 H 2.12-2.25, 4 W 2.19-2.21
O  0.3333  0.6667  0.9114  4 H 2.12-2.25, 4 W 2.19-2.21
W  0.3333  0.6667  0.7047  3 H 1.92
W  0.0000  0.0000  0.0380  3 H 1.92
W  0.6667  0.3333  0.3713  3 H 1.92
H  0.0000  0.0000  0.4449  3 W 1.92, 1 O 2.12
H  0.3333  0.6667  0.1116  3 W 1.92, 1 O 2.12
H  0.6667  0.3333  0.7783  3 W 1.92, 1 O 2.12

density	11.842	g/cm3
raw total energy	-0.404	Ry/atom
space group	R3m (160)

---

VASP calculation (GGA+U) on an optimized crystal structure of HWO.

Cell: 3.0407 7.2136 2.8435 Å, 90.00 90.13 90.00°
Closest atoms and distances in Å follow each position.
Fractional positions:
W  0.0000  0.2627  0.5000  3 O 2.06-2.10, 4 H 2.11-2.12
W  0.0000  0.7627  0.0000  3 O 2.06-2.10, 4 H 2.11-2.12
H  0.5000  0.2120  0.0000  4 W 2.11-2.12
H  0.5000  0.7120  0.5000  4 W 2.11-2.12
O  0.0000  0.4775  0.0000  3 W 2.06-2.10
O  0.0000  0.9775  0.5000  3 W 2.06-2.10

density	10.694	g/cm3
raw total energy	-0.411	Ry/atom
space group	C2 (5)

---

VASP calculation (GGA+U) on an optimized crystal structure of HWO.

Cell: 2.9992 2.9992 3.8569 Å, 90.00 90.00 90.00°
Closest atoms and distances in Å follow each position.
Fractional positions:
W  0.5000  0.5000  0.0000  2 O 1.93, 4 H 2.12
H  0.0000  0.0000  0.0000  4 W 2.12
O  0.5000  0.5000  0.5000  2 W 1.93

density	9.613	g/cm3
raw total energy	-0.412	Ry/atom
space group	P4/mmm (123)

---

VASP calculation (GGA+U) on an optimized crystal structure of HW3O.

Cell: 4.0297 4.0297 4.0297 Å, 90.00 90.00 90.00°
Closest atoms and distances in Å follow each position.
Fractional positions:
W  0.5000  0.0000  0.0000  2 H 2.01
W  0.0000  0.0000  0.5000  2 H 2.01
W  0.0000  0.5000  0.0000  2 H 2.01
O  0.5000  0.5000  0.5000  12 W 2.85
H  0.0000  0.0000  0.0000  6 W 2.01

density	14.427	g/cm3
raw total energy	-0.350	Ry/atom
space group	Pm-3m (221)

---

VASP calculation (GGA+U) on an optimized crystal structure of HW2O.

Cell: 4.5374 4.5374 5.6795 Å, 66.46 66.46 90.00°
Closest atoms and distances in Å follow each position.
Fractional positions:
H  0.2500  0.7500  0.5000  4 W 1.91
H  0.5000  0.5000  0.0000  4 W 1.91
W  0.8750  0.8429  0.7500  2 H 1.91, 2 O 2.07
W  0.5929  0.1250  0.2500  2 H 1.91, 2 O 2.07
W  0.1571  0.6250  0.2500  2 H 1.91, 2 O 2.07
W  0.3750  0.4071  0.7500  2 H 1.91, 2 O 2.07
O  0.0000  0.0000  0.0000  4 W 2.07
O  0.7500  0.2500  0.5000  4 W 2.07

density	13.241	g/cm3
raw total energy	-0.392	Ry/atom
space group	I-42d (122)